# 1
Density functional theory data (meta-GGA SCAN) for a PBEsol-optimized structure of Zr2ScZn.

space group = Imm2 (44)
calculated formation energy = -13 kJ/mol of atoms

a b c (Å): 3.295 4.832 5.850
angles (deg): 114.39 106.36 90.00
Fractional coordinates of all 4 atoms:
Zn 0.248 0.748 0.495
Zr 0.751 0.251 0.501
Sc 0.531 0.531 0.061
Zr 0.971 0.971 0.942

# 2
Density functional theory data (meta-GGA SCAN) for a PBEsol-optimized structure of KSrCa2Cd.

space group = P4/mmm (123)
calculated formation energy = 55 kJ/mol of atoms

a b c (Å): 5.969 6.751 6.751
angles (deg): 90.00 90.00 90.00
Each line ends with the local moment (μB).
Fractional coordinates of all 5 atoms:
Sr 0.000 0.000 0.000  0.14
Cd 0.500 0.000 0.000  0.01
K 0.500 0.500 0.500  0.00
Ca 0.000 0.500 0.000  0.11
Ca 0.000 0.000 0.500  0.11

# 3
Density functional theory data (meta-GGA SCAN) for a PBEsol-optimized structure of GaFe3Ag.

space group = Pm-3m (221)
energy relative to the lowest polymorph listed for this composition = 0 kJ/mol of formula units
calculated formation energy = 99 kJ/mol of atoms

a b c (Å): 4.343 4.343 4.343
angles (deg): 90.00 90.00 90.00
Each line ends with the local moment (μB).
Fractional coordinates of all 5 atoms:
Fe 0.000 0.500 0.000  3.01
Ga 0.000 0.000 0.000  -0.17
Fe 0.500 0.000 0.000  3.01
Fe 0.000 0.000 0.500  3.01
Ag 0.500 0.500 0.500  -0.05

Record-wise DFT total energy values, in eV for the cell shown: -89.67 -77.49 -96.97